The following is a PBE-GGA calculation of crystalline Pm3CoAg2 at its relaxed geometry, from Alexandria.

Lattice parameters (Å, degrees): 5.849 7.725 7.872 104.23 111.81 90.00
Fractional positions:
Pm 0.500 0.750 0.000
Pm 0.132 0.566 0.264
Pm 0.500 0.250 0.000
Pm 0.131 0.066 0.264
Pm 0.869 0.934 0.736
Pm 0.868 0.434 0.736
Ag 0.312 0.407 0.625
Ag 0.688 0.593 0.375
Ag 0.687 0.093 0.375
Ag 0.313 0.907 0.625
Co 0.000 0.750 0.000
Co 0.000 0.250 0.000

## Properties
- Space-group type: C2/c, No. 15
- ΔE_f: -6.0 kJ/mol of atoms

***

The following is a PBE-GGA calculation of crystalline AcSm4DyTm2 at its relaxed geometry, from Alexandria.

Lattice parameters (Å, degrees): 5.127 6.282 9.617 89.82 74.54 65.91
Fractional positions:
Tm 0.742 0.759 0.757
Tm 0.258 0.241 0.243
Sm 0.372 0.376 0.879
Sm 0.628 0.624 0.121
Sm 0.878 0.874 0.369
Sm 0.122 0.126 0.631
Dy 0.000 0.000 0.000
Ac 0.500 0.500 0.500

## Properties
- Space-group type: C2/m, No. 12
- ΔE_f: 3.9 kJ/mol of atoms

***

The following is a PBE-GGA calculation of crystalline ErPaTlO6 at its relaxed geometry, from Alexandria.

Lattice parameters (Å, degrees): 4.857 5.668 5.668 120.00 90.00 90.00
Site moments in Bohr magnetons follow the coordinates.
Fractional positions:
O 0.253 0.017 0.671  0.10
O 0.747 0.017 0.346  0.10
O 0.747 0.329 0.983  0.10
O 0.253 0.654 0.983  0.10
O 0.747 0.654 0.671  0.10
O 0.253 0.329 0.346  0.10
Tl 0.500 0.667 0.333  0.00
Er 0.500 0.000 0.000  0.00
Pa 0.000 0.333 0.667  0.00

## Properties
- Space-group type: P312, No. 149
- E_tot: -7.539 eV per atom

***

The following is a PBE-GGA calculation of crystalline MnCo3Ni at its relaxed geometry, from Alexandria.

Lattice parameters (Å, degrees): 4.114 4.114 4.114 90.00 90.00 90.00
Site moments in Bohr magnetons follow the coordinates.
Fractional positions:
Co 0.500 0.000 0.000  0.86
Co 0.000 0.000 0.500  0.66
Co 0.000 0.500 0.000  0.69
Mn 0.000 0.000 0.000  -0.01
Ni 0.500 0.500 0.500  0.60

## Properties
- Space-group type: Pm-3m, No. 221
- ΔE_f: 127.5 kJ/mol of atoms

***

The following is a PBE-GGA calculation of crystalline PrNdLu at its relaxed geometry, from Alexandria.

Lattice parameters (Å, degrees): 3.516 5.729 5.729 120.00 90.00 90.00
Fractional positions:
Nd 0.166 0.000 0.000
Pr 0.667 0.333 0.667
Lu 0.167 0.667 0.333

## Properties
- Space-group type: P-6m2, No. 187
- ΔE_f: 7.0 kJ/mol of atoms

***

The following is a PBE-GGA calculation of crystalline Ac2ThHg5 at its relaxed geometry, from Alexandria.

Lattice parameters (Å, degrees): 5.469 5.469 8.678 108.37 108.37 90.00
Fractional positions:
Ac 0.734 0.734 0.467
Ac 0.266 0.266 0.533
Hg 0.500 0.500 0.000
Hg 0.387 0.887 0.773
Hg 0.613 0.113 0.227
Hg 0.113 0.613 0.227
Hg 0.887 0.387 0.773
Th 0.000 0.000 0.000

## Properties
- Space-group type: I4/mmm, No. 139
- ΔE_f: -32.6 kJ/mol of atoms

***

The following is a PBE-GGA calculation of crystalline Nb2CdSe at its relaxed geometry, from Alexandria.

Lattice parameters (Å, degrees): 4.687 4.687 4.687 60.00 60.00 60.00
Fractional positions:
Nb 0.750 0.750 0.750
Nb 0.250 0.250 0.250
Se 0.000 0.000 0.000
Cd 0.500 0.500 0.500

## Properties
- Space-group type: Fm-3m, No. 225
- E_tot: -5.892 eV per atom

***

The following is a PBE-GGA calculation of crystalline Mg2AsCl at its relaxed geometry, from Alexandria.

Lattice parameters (Å, degrees): 6.739 6.739 6.739 147.31 147.31 46.91
Fractional positions:
Mg 0.000 0.000 0.000
Mg 0.250 0.750 0.500
Cl 0.750 0.250 0.500
As 0.500 0.500 0.000

## Properties
- Space-group type: I-4m2, No. 119
- E_tot: -2.900 eV per atom

***

The following is a PBE-GGA calculation of crystalline Pr4GeBr2N at its relaxed geometry, from Alexandria.

Lattice parameters (Å, degrees): 4.024 7.059 7.893 107.79 90.00 90.00
Fractional positions:
Br 0.500 0.000 0.500
Br 0.000 0.500 0.500
Pr 0.000 0.296 0.812
Pr 0.500 0.274 0.194
Pr 0.500 0.726 0.806
Pr 0.000 0.704 0.188
Ge 0.000 0.000 0.000
N 0.500 0.500 0.000

## Properties
- Space-group type: P2/m, No. 10
- E_tot: -5.650 eV per atom

***

The following is a PBE-GGA calculation of crystalline CaHf3Mg at its relaxed geometry, from Alexandria.

Lattice parameters (Å, degrees): 5.097 5.097 5.097 90.00 90.00 90.00
Fractional positions:
Ca 0.000 0.000 0.000
Hf 0.000 0.000 0.500
Hf 0.500 0.000 0.000
Hf 0.000 0.500 0.000
Mg 0.500 0.500 0.500

## Properties
- Space-group type: Pm-3m, No. 221
- ΔE_f: 163.0 kJ/mol of atoms

***

The following is a PBE-GGA calculation of crystalline CrCo2MoW at its relaxed geometry, from Alexandria.

Lattice parameters (Å, degrees): 4.373 4.715 4.373 90.00 90.00 90.00
Site moments in Bohr magnetons follow the coordinates.
Fractional positions:
Co 0.000 0.000 0.500  0.56
Co 0.500 0.000 0.000  0.48
Mo 0.000 0.500 0.000  -0.11
Cr 0.500 0.500 0.500  0.07
W 0.000 0.000 0.000  -0.07

## Properties
- Space-group type: P4/mmm, No. 123
- ΔE_f: 190.1 kJ/mol of atoms

***

The following is a PBE-GGA calculation of crystalline Th2PaRhN5 at its relaxed geometry, from Alexandria.

Lattice parameters (Å, degrees): 3.508 7.044 10.833 90.00 90.00 104.42
Fractional positions:
N 0.515 0.030 0.273
N 0.674 0.349 0.869
N 0.634 0.268 0.494
N 0.279 0.558 0.658
N 0.721 0.442 0.158
N 0.953 0.906 0.572
N 0.326 0.651 0.369
N 0.366 0.732 0.994
N 0.047 0.094 0.072
N 0.485 0.970 0.773
Th 0.138 0.276 0.306
Th 0.898 0.796 0.189
Th 0.862 0.724 0.806
Th 0.102 0.204 0.689
Pa 0.200 0.400 0.011
Pa 0.800 0.600 0.511
Rh 0.476 0.953 0.454
Rh 0.524 0.047 0.954

## Properties
- Space-group type: Cmc2_1, No. 36
- E_tot: -9.312 eV per atom

***

The DOS at the Fermi energy results, record by record, are as follows: 0.814; 1.538; 1.067; 2.369; 1.301; 0.620; 0.693; 0.377; 0.343; 1.228; 1.976; 0.306 states/eV per atom.
The calculated density results, record by record, are as follows: 7.40; 8.16; 8.59; 6.92; 7.65; 12.07; 8.60; 2.97; 6.30; 7.52; 8.28; 11.12 g/cm3.